# 1
! BaLi (GGA-PBEsol, optimized geometry); values from VASP
&SYSTEM
  ibrav = 0, nat = 4, ntyp = 2
/
ATOMIC_SPECIES
Ba 137.33 Ba.upf
Li 6.94 Li.upf
CELL_PARAMETERS angstrom
4.065 0.000 0.000
0.000 4.065 0.000
0.000 0.000 9.475
ATOMIC_POSITIONS angstrom
Ba 1.016 1.016 1.710
Ba 3.049 3.049 7.765
Li 1.016 1.016 5.301
Li 3.049 3.049 4.174
! Magnetic moment, Bohr magnetons per cell: 0.0
! DFT formation energy, eV/atom: 0.038
! Energy relative to the lowest polymorph listed for this composition, meV/atom: 0.0

---

# 2
! BaLi2 (GGA-PBEsol, optimized geometry); values from VASP
&SYSTEM
  ibrav = 0, nat = 12, ntyp = 2
/
ATOMIC_SPECIES
Ba 137.33 Ba.upf
Li 6.94 Li.upf
CELL_PARAMETERS angstrom
4.943 0.000 0.000
0.000 4.943 0.000
0.000 0.000 18.006
ATOMIC_POSITIONS angstrom
Ba 0.000 1.236 6.752
Ba 0.000 3.707 11.254
Ba 2.471 1.236 2.251
Ba 2.471 3.707 15.755
Li 0.000 1.236 14.265
Li 0.000 1.236 17.246
Li 0.000 3.707 0.760
Li 0.000 3.707 3.742
Li 2.471 1.236 9.763
Li 2.471 1.236 12.745
Li 2.471 3.707 5.262
Li 2.471 3.707 8.243
! Magnetic moment, Bohr magnetons per cell: 0.0
! DFT formation energy, eV/atom: 0.076

---

# 3
! BaLi2 (GGA-PBEsol, optimized geometry); values from VASP
&SYSTEM
  ibrav = 0, nat = 12, ntyp = 2
/
ATOMIC_SPECIES
Ba 137.33 Ba.upf
Li 6.94 Li.upf
CELL_PARAMETERS angstrom
6.603 0.000 0.000
0.000 5.855 0.000
0.000 0.000 10.211
ATOMIC_POSITIONS angstrom
Ba 0.600 1.464 1.344
Ba 2.702 4.391 6.449
Ba 3.901 1.464 3.761
Ba 6.003 4.391 8.866
Li 0.595 1.464 5.226
Li 1.530 4.391 3.013
Li 1.772 1.464 8.119
Li 2.706 4.391 0.121
Li 3.897 1.464 10.089
Li 4.831 4.391 2.092
Li 5.073 1.464 7.197
Li 6.008 4.391 4.984
! Magnetic moment, Bohr magnetons per cell: 0.0
! DFT formation energy, eV/atom: 0.043

---

# 4
! BaLi2 (GGA-PBEsol, optimized geometry); values from VASP
&SYSTEM
  ibrav = 0, nat = 3, ntyp = 2
/
ATOMIC_SPECIES
Ba 137.33 Ba.upf
Li 6.94 Li.upf
CELL_PARAMETERS angstrom
5.273 0.000 0.000
-2.636 4.566 0.000
0.000 0.000 4.521
ATOMIC_POSITIONS angstrom
Ba 0.000 0.000 0.000
Li 0.000 3.044 2.260
Li 2.636 1.522 2.260
! Magnetic moment, Bohr magnetons per cell: 0.0
! DFT formation energy, eV/atom: 0.065

---

# 5
! Ba2Li (GGA-PBEsol, optimized geometry); values from VASP
&SYSTEM
  ibrav = 0, nat = 12, ntyp = 2
/
ATOMIC_SPECIES
Ba 137.33 Ba.upf
Li 6.94 Li.upf
CELL_PARAMETERS angstrom
8.894 0.000 0.000
0.000 8.894 0.000
0.000 0.000 7.162
ATOMIC_POSITIONS angstrom
Ba 1.461 2.986 0.000
Ba 1.461 5.908 3.581
Ba 2.986 1.461 3.581
Ba 2.986 7.433 0.000
Ba 5.908 1.461 0.000
Ba 5.908 7.433 3.581
Ba 7.433 2.986 3.581
Ba 7.433 5.908 0.000
Li 0.000 0.000 1.790
Li 0.000 0.000 5.371
Li 4.447 4.447 1.790
Li 4.447 4.447 5.371
! Magnetic moment, Bohr magnetons per cell: 0.0
! DFT formation energy, eV/atom: 0.037
! Energy relative to the lowest polymorph listed for this composition, meV/atom: 6.0

---

# 6
! Ba2Li (GGA-PBEsol, optimized geometry); values from VASP
&SYSTEM
  ibrav = 0, nat = 9, ntyp = 2
/
ATOMIC_SPECIES
Ba 137.33 Ba.upf
Li 6.94 Li.upf
CELL_PARAMETERS angstrom
9.921 0.000 0.000
-4.960 8.592 0.000
0.000 0.000 4.963
ATOMIC_POSITIONS angstrom
Ba -1.274 2.206 0.000
Ba -2.955 5.119 2.481
Ba 2.547 0.000 0.000
Ba 2.005 3.473 2.481
Ba 5.911 0.000 2.481
Ba 3.687 6.386 0.000
Li 0.000 0.000 2.481
Li 0.000 5.728 0.000
Li 4.960 2.864 0.000
! Magnetic moment, Bohr magnetons per cell: 0.0
! DFT formation energy, eV/atom: 0.047
! Energy relative to the lowest polymorph listed for this composition, meV/atom: 15.2